1.
The following is a DFT calculation (PBE) of crystalline SbAuCl4 at its relaxed geometry.

The structure belongs to space group C2/c (No. 15); the cell edges are 7.0524, 19.1427 and 6.8974 Å and the angles 90.00°, 91.53° and 90.00°. The distinct sites, in fractional coordinates, are Sb at (0.0000, 0.0535, 0.2500), Au at (0.0000, 0.3478, 0.7500), Cl at (0.2105, 0.1553, 0.0903) and Cl at (0.2127, 0.0456, 0.5777).

As for the energy above the most stable polymorph in this dataset: 0.0 meV per atom. As for the total energy: -73.71 eV per cell. The calculation puts the raw formation energy at -58.55 kJ/mol of atoms. The volume comes out at 931 Å³/cell.

---

2.
The following is a DFT calculation (PBE) of crystalline Cu2IrPd2 at its relaxed geometry.

The structure belongs to space group P4/mbm (No. 127); the cell edges are 7.0819, 7.0819 and 2.8141 Å and the angles 90.00°, 90.00° and 90.00°. The distinct sites, in fractional coordinates, are Cu at (0.1213, 0.3787, 0.0000), Ir at (0.0000, 0.0000, 0.0000) and Pd at (0.1774, 0.6774, 0.5000).

As for the energy above the most stable polymorph in this dataset: 0.0 meV per atom. As for the total energy: -52.67 eV per cell. The volume comes out at 141 Å³/cell.